# 1
VASP calculation (PBE-GGA) on a geometry-optimized PbI2NF structure.

Calculated values
The value obtained for the energy above the most stable polymorph in this dataset is 12 kJ/mol of formula units. Its symmetry is P4/mmm (123). The raw formation energy comes out at 0.736 eV/atom.

abc: 6.0678 6.0678 4.6433
angles: 90.00 90.00 90.00
Atoms (fractional coordinates):
Pb  0.0000  0.0000  0.0000
I  0.0000  0.5000  0.0000
I  0.5000  0.0000  0.0000
N  0.0000  0.0000  0.5000
F  0.5000  0.5000  0.5000

# 2
VASP calculation (PBE-GGA) on a geometry-optimized PdINF2 structure.

Calculated values
The value obtained for the energy above the most stable polymorph in this dataset is 163 kJ/mol of formula units. Its symmetry is P4/mmm (123). The raw formation energy comes out at 0.510 eV/atom.

abc: 4.6679 4.6679 4.0073
angles: 90.00 90.00 90.00
Atoms (fractional coordinates):
Pd  0.0000  0.0000  0.0000
I  0.5000  0.5000  0.5000
N  0.5000  0.5000  0.0000
F  0.0000  0.5000  0.5000
F  0.5000  0.0000  0.5000

# 3
VASP calculation (PBE-GGA) on a geometry-optimized PdINF2 structure.

Calculated values
The value obtained for the energy above the most stable polymorph in this dataset is 0 kJ/mol of formula units. Its symmetry is P4/mmm (123). The raw formation energy comes out at 0.172 eV/atom.

abc: 4.3761 4.3761 3.9460
angles: 90.00 90.00 90.00
Atoms (fractional coordinates):
Pd  0.0000  0.0000  0.0000
I  0.5000  0.5000  0.5000
N  0.0000  0.0000  0.5000
F  0.0000  0.5000  0.0000
F  0.5000  0.0000  0.0000

# 4
VASP calculation (PBE-GGA) on a geometry-optimized PtI2NF structure.

Calculated values
The value obtained for the energy above the most stable polymorph in this dataset is 500 kJ/mol of formula units. Its symmetry is P4/mmm (123). The raw formation energy comes out at 1.461 eV/atom.

abc: 5.7806 5.7806 3.2140
angles: 90.00 90.00 90.00
Atoms (fractional coordinates):
Pt  0.0000  0.0000  0.0000
I  0.0000  0.5000  0.5000
I  0.5000  0.0000  0.5000
N  0.5000  0.5000  0.0000
F  0.5000  0.5000  0.5000

# 5
VASP calculation (PBE-GGA) on a geometry-optimized PtIN2F structure.

Calculated values
The value obtained for the energy above the most stable polymorph in this dataset is 0 kJ/mol of formula units. Its symmetry is P4/mmm (123). The raw formation energy comes out at 0.903 eV/atom.

abc: 3.7347 3.7347 8.4745
angles: 90.00 90.00 90.00
Atoms (fractional coordinates):
Pt  0.0000  0.0000  0.0000
I  0.0000  0.0000  0.5000
N  0.0000  0.5000  0.0000
N  0.5000  0.0000  0.0000
F  0.5000  0.5000  0.5000

# 6
VASP calculation (PBE-GGA) on a geometry-optimized PtI2NF structure.

Calculated values
The value obtained for the energy above the most stable polymorph in this dataset is 0 kJ/mol of formula units. Its symmetry is P4/mmm (123). The raw formation energy comes out at 0.424 eV/atom.

abc: 5.6943 5.6943 3.6726
angles: 90.00 90.00 90.00
Atoms (fractional coordinates):
Pt  0.0000  0.0000  0.0000
I  0.0000  0.5000  0.0000
I  0.5000  0.0000  0.0000
N  0.0000  0.0000  0.5000
F  0.5000  0.5000  0.5000